Version P
The following is a PBE-GGA calculation of an optimized crystal structure of AlOsSN2, from Alexandria via LeMat-Bulk.

The structure in POSCAR format:
```
AlOsSN2
1.0
3.676 0.000 0.000
0.000 3.676 0.000
0.000 0.000 4.617
Al Os S N
1 1 1 2
direct
0.000 0.000 0.000
0.500 0.500 0.500
0.000 0.000 0.500
0.000 0.500 0.000
0.500 0.000 0.000
```

Computed properties:
Fermi-level density of states, states/eV/atom: 1.0091

---

Version Q
The following is a PBE-GGA calculation of an optimized crystal structure of AlOsSN2, from Alexandria via LeMat-Bulk.

The structure in POSCAR format:
```
AlOsSN2
1.0
3.788 0.000 0.000
0.000 3.788 0.000
0.000 0.000 5.139
Al Os S N
1 1 1 2
direct
0.000 0.000 0.000
0.500 0.500 0.500
0.500 0.500 0.000
0.000 0.500 0.500
0.500 0.000 0.500
```

Computed properties:
Fermi-level density of states, states/eV/atom: 0.6987

---

version Q comes first in stability; the runner-up is 72.6 kJ/mol of atoms higher.

---

Version P
The following is a PBE-GGA calculation of an optimized crystal structure of AlTe2OsN, from Alexandria via LeMat-Bulk.

The structure in POSCAR format:
```
AlTe2OsN
1.0
5.359 0.000 0.000
0.000 5.359 0.000
0.000 0.000 3.403
Al Te Os N
1 2 1 1
direct
0.000 0.000 0.000
0.000 0.500 0.000
0.500 0.000 0.000
0.500 0.500 0.500
0.000 0.000 0.500
```

Computed properties:
Fermi-level density of states, states/eV/atom: 1.5299

---

Version Q
The following is a PBE-GGA calculation of an optimized crystal structure of AlTe2OsN, from Alexandria via LeMat-Bulk.

The structure in POSCAR format:
```
AlTe2OsN
1.0
5.516 0.000 0.000
0.000 5.516 0.000
0.000 0.000 3.667
Al Te Os N
1 2 1 1
direct
0.000 0.000 0.000
0.000 0.500 0.500
0.500 0.000 0.500
0.500 0.500 0.500
0.500 0.500 0.000
```

Computed properties:
Fermi-level density of states, states/eV/atom: 0.3640

---

version Q comes first in stability; the runner-up is 61.0 kJ/mol of atoms higher.

---

Version P
The following is a PBE-GGA calculation of an optimized crystal structure of AlP2N, from Alexandria via LeMat-Bulk.

The structure in POSCAR format:
```
AlP2N
1.0
0.000 2.960 2.960
2.960 0.000 2.960
2.960 2.960 0.000
Al P N
1 2 1
direct
0.000 0.000 0.000
0.250 0.250 0.250
0.750 0.750 0.750
0.500 0.500 0.500
```

Computed properties:
Fermi-level density of states, states/eV/atom: 0.6390

---

Version Q
The following is a PBE-GGA calculation of an optimized crystal structure of AlP2N, from Alexandria via LeMat-Bulk.

The structure in POSCAR format:
```
AlP2N
1.0
-2.429 2.429 5.287
2.429 -2.429 5.287
2.429 2.429 -5.287
Al P N
2 4 2
direct
0.000 0.000 0.000
0.750 0.250 0.500
0.196 0.625 0.071
0.375 0.446 0.571
0.554 0.125 0.929
0.875 0.804 0.429
0.250 0.750 0.500
0.500 0.500 0.000
```

Computed properties:
Fermi-level density of states, states/eV/atom: 0.0062

---

version Q comes first in stability; the runner-up is 76.0 kJ/mol of atoms higher.

---

Version P
The following is a PBE-GGA calculation of an optimized crystal structure of Al2PN, from Alexandria via LeMat-Bulk.

The structure in POSCAR format:
```
Al2PN
1.0
-2.486 2.486 4.816
2.486 -2.486 4.816
2.486 2.486 -4.816
Al P N
4 2 2
direct
0.056 0.625 0.931
0.375 0.306 0.431
0.694 0.125 0.069
0.875 0.944 0.569
0.250 0.750 0.500
0.500 0.500 0.000
0.000 0.000 0.000
0.750 0.250 0.500
```

Computed properties:
Fermi-level density of states, states/eV/atom: 0.0000

---

Version Q
The following is a PBE-GGA calculation of an optimized crystal structure of Al2PN, from Alexandria via LeMat-Bulk.

The structure in POSCAR format:
```
Al2PN
1.0
0.000 2.926 2.926
2.926 0.000 2.926
2.926 2.926 0.000
Al P N
2 1 1
direct
0.250 0.250 0.250
0.750 0.750 0.750
0.000 0.000 0.000
0.500 0.500 0.500
```

Computed properties:
Fermi-level density of states, states/eV/atom: 0.6673

---

version P comes first in stability; the runner-up is 134.2 kJ/mol of atoms higher.

---

Version P
The following is a PBE-GGA calculation of an optimized crystal structure of AlPSe2N, from Alexandria via LeMat-Bulk.

The structure in POSCAR format:
```
AlPSe2N
1.0
5.047 0.000 0.000
0.000 5.047 0.000
0.000 0.000 3.505
Al P Se N
1 1 2 1
direct
0.000 0.000 0.000
0.500 0.500 0.500
0.000 0.500 0.000
0.500 0.000 0.000
0.000 0.000 0.500
```

Computed properties:
Fermi-level density of states, states/eV/atom: 1.0380

---

Version Q
The following is a PBE-GGA calculation of an optimized crystal structure of AlPSe2N, from Alexandria via LeMat-Bulk.

The structure in POSCAR format:
```
AlPSe2N
1.0
5.002 0.000 0.000
0.000 5.002 0.000
0.000 0.000 3.319
Al P Se N
1 1 2 1
direct
0.000 0.000 0.000
0.500 0.500 0.500
0.000 0.500 0.500
0.500 0.000 0.500
0.500 0.500 0.000
```

Computed properties:
Fermi-level density of states, states/eV/atom: 0.5872

---

version Q comes first in stability; the runner-up is 14.8 kJ/mol of atoms higher.

---

Version P
The following is a PBE-GGA calculation of an optimized crystal structure of AlTePN2, from Alexandria via LeMat-Bulk.

The structure in POSCAR format:
```
AlTePN2
1.0
3.702 0.000 0.000
0.000 3.702 0.000
0.000 0.000 7.482
Al Te P N
1 1 1 2
direct
0.000 0.000 0.000
0.000 0.000 0.500
0.500 0.500 0.500
0.000 0.500 0.000
0.500 0.000 0.000
```

Computed properties:
Fermi-level density of states, states/eV/atom: 0.8656

---

Version Q
The following is a PBE-GGA calculation of an optimized crystal structure of AlTePN2, from Alexandria via LeMat-Bulk.

The structure in POSCAR format:
```
AlTePN2
1.0
3.598 0.000 0.000
0.000 3.598 0.000
0.000 0.000 6.783
Al Te P N
1 1 1 2
direct
0.000 0.000 0.000
0.500 0.500 0.000
0.500 0.500 0.500
0.000 0.500 0.500
0.500 0.000 0.500
```

Computed properties:
Fermi-level density of states, states/eV/atom: 0.2333

---

version P comes first in stability; the runner-up is 2.3 kJ/mol of atoms higher.

---

Version P
The following is a PBE-GGA calculation of an optimized crystal structure of AlPbS2N, from Alexandria via LeMat-Bulk.

The structure in POSCAR format:
```
AlPbS2N
1.0
5.005 0.000 0.000
0.000 5.005 0.000
0.000 0.000 3.821
Al Pb S N
1 1 2 1
direct
0.000 0.000 0.000
0.500 0.500 0.500
0.000 0.500 0.000
0.500 0.000 0.000
0.000 0.000 0.500
```

Computed properties:
Fermi-level density of states, states/eV/atom: 0.3712

---

Version Q
The following is a PBE-GGA calculation of an optimized crystal structure of AlPbS2N, from Alexandria via LeMat-Bulk.

The structure in POSCAR format:
```
AlPbS2N
1.0
5.313 0.000 0.000
0.000 5.313 0.000
0.000 0.000 4.377
Al Pb S N
1 1 2 1
direct
0.000 0.000 0.000
0.500 0.500 0.500
0.000 0.500 0.500
0.500 0.000 0.500
0.500 0.500 0.000
```

Computed properties:
Fermi-level density of states, states/eV/atom: 0.7492

---

version P comes first in stability; the runner-up is 109.3 kJ/mol of atoms higher.

---

Version P
The following is a PBE-GGA calculation of an optimized crystal structure of AlTe2PbN, from Alexandria via LeMat-Bulk.

The structure in POSCAR format:
```
AlTe2PbN
1.0
5.957 0.000 0.000
0.000 5.957 0.000
0.000 0.000 3.510
Al Te Pb N
1 2 1 1
direct
0.000 0.000 0.000
0.000 0.500 0.000
0.500 0.000 0.000
0.500 0.500 0.500
0.000 0.000 0.500
```

Computed properties:
Fermi-level density of states, states/eV/atom: 0.8101

---

Version Q
The following is a PBE-GGA calculation of an optimized crystal structure of AlTe2PbN, from Alexandria via LeMat-Bulk.

The structure in POSCAR format:
```
AlTe2PbN
1.0
5.952 0.000 0.000
0.000 5.952 0.000
0.000 0.000 4.396
Al Te Pb N
1 2 1 1
direct
0.000 0.000 0.000
0.000 0.500 0.500
0.500 0.000 0.500
0.500 0.500 0.500
0.500 0.500 0.000
```

Computed properties:
Fermi-level density of states, states/eV/atom: 0.7837

---

version P comes first in stability; the runner-up is 96.5 kJ/mol of atoms higher.

---

Version P
The following is a PBE-GGA calculation of an optimized crystal structure of Al3PdN, from Alexandria via LeMat-Bulk.

The structure in POSCAR format:
```
Al3PdN
1.0
4.690 0.000 0.000
0.000 4.690 0.000
0.000 0.000 4.690
Al Pd N
3 1 1
direct
0.000 0.000 0.500
0.000 0.500 0.000
0.500 0.000 0.000
0.000 0.000 0.000
0.500 0.500 0.500
```

Computed properties:
Fermi-level density of states, states/eV/atom: 0.3313

---

Version Q
The following is a PBE-GGA calculation of an optimized crystal structure of Al3PdN, from Alexandria via LeMat-Bulk.

The structure in POSCAR format:
```
Al3PdN
1.0
3.986 0.000 0.000
0.000 3.986 0.000
0.000 0.000 3.986
Al Pd N
3 1 1
direct
0.000 0.000 0.500
0.000 0.500 0.000
0.500 0.000 0.000
0.500 0.500 0.500
0.000 0.000 0.000
```

Computed properties:
Fermi-level density of states, states/eV/atom: 0.1837

---

version Q comes first in stability; the runner-up is 112.8 kJ/mol of atoms higher.

---

Version P
The following is a PBE-GGA calculation of an optimized crystal structure of AlPd2N, from Alexandria via LeMat-Bulk.

The structure in POSCAR format:
```
AlPd2N
1.0
0.000 2.972 2.972
2.972 0.000 2.972
2.972 2.972 0.000
Al Pd N
1 2 1
direct
0.000 0.000 0.000
0.250 0.250 0.250
0.750 0.750 0.750
0.500 0.500 0.500
```

Computed properties:
Fermi-level density of states, states/eV/atom: 0.5226

---

Version Q
The following is a PBE-GGA calculation of an optimized crystal structure of AlPd2N, from Alexandria via LeMat-Bulk.

The structure in POSCAR format:
```
AlPd2N
1.0
-2.409 2.409 5.778
2.409 -2.409 5.778
2.409 2.409 -5.778
Al Pd N
2 4 2
direct
0.000 0.000 0.000
0.750 0.250 0.500
0.224 0.625 0.099
0.375 0.474 0.599
0.526 0.125 0.901
0.875 0.776 0.401
0.250 0.750 0.500
0.500 0.500 0.000
```

Computed properties:
Fermi-level density of states, states/eV/atom: 0.1891

---

version Q comes first in stability; the runner-up is 18.5 kJ/mol of atoms higher.

---

Version P
The following is a PBE-GGA calculation of an optimized crystal structure of AlPd3N, from Alexandria via LeMat-Bulk.

The structure in POSCAR format:
```
AlPd3N
1.0
4.144 0.000 0.000
0.000 4.144 0.000
0.000 0.000 4.144
Al Pd N
1 3 1
direct
0.000 0.000 0.000
0.000 0.500 0.500
0.500 0.000 0.500
0.500 0.500 0.000
0.500 0.500 0.500
```

Computed properties:
Fermi-level density of states, states/eV/atom: 0.2593

---

Version Q
The following is a PBE-GGA calculation of an optimized crystal structure of AlPd3N, from Alexandria via LeMat-Bulk.

The structure in POSCAR format:
```
AlPd3N
1.0
4.603 0.000 0.000
0.000 4.603 0.000
0.000 0.000 4.603
Al Pd N
1 3 1
direct
0.000 0.000 0.000
0.000 0.000 0.500
0.000 0.500 0.000
0.500 0.000 0.000
0.500 0.500 0.500
```

Computed properties:
Fermi-level density of states, states/eV/atom: 0.3785

---

version P comes first in stability; the runner-up is 123.5 kJ/mol of atoms higher.

---

Version P
The following is a PBE-GGA calculation of an optimized crystal structure of AlPdS2N, from Alexandria via LeMat-Bulk.

The structure in POSCAR format:
```
AlPdS2N
1.0
4.887 0.000 0.000
0.000 4.887 0.000
0.000 0.000 3.694
Al Pd S N
1 1 2 1
direct
0.000 0.000 0.000
0.500 0.500 0.500
0.000 0.500 0.500
0.500 0.000 0.500
0.500 0.500 0.000
```

Computed properties:
Fermi-level density of states, states/eV/atom: 0.4553

---

Version Q
The following is a PBE-GGA calculation of an optimized crystal structure of AlPdS2N, from Alexandria via LeMat-Bulk.

The structure in POSCAR format:
```
AlPdS2N
1.0
4.717 0.000 0.000
0.000 4.717 0.000
0.000 0.000 3.610
Al Pd S N
1 1 2 1
direct
0.000 0.000 0.000
0.500 0.500 0.500
0.000 0.500 0.000
0.500 0.000 0.000
0.000 0.000 0.500
```

Computed properties:
Fermi-level density of states, states/eV/atom: 0.6160

---

version Q comes first in stability; the runner-up is 29.7 kJ/mol of atoms higher.